# PaAg2PdO6 | Alexandria | GGA-PBE | relaxed
# D(E_F)   1.329 states/eV per atom
# Energy relative to the elements, uncorrected   -1267 meV/atom
data_PaAg2PdO6
_space_group_name_H-M_alt 'R -3'
_space_group_IT_number 148
_space_group_name_Hall '-R 3'
_cell_length_a 5.6501
_cell_length_b 5.6501
_cell_length_c 14.4240
_cell_angle_alpha 90.00
_cell_angle_beta 90.00
_cell_angle_gamma 120.00
loop_
_atom_site_label
_atom_site_type_symbol
_atom_site_fract_x
_atom_site_fract_y
_atom_site_fract_z
_atom_site_occupancy
Pa1 Pa 0.0000 0.0000 0.0000 1
Ag1 Ag 0.0000 0.0000 0.2525 1
Pd1 Pd 0.0000 0.0000 0.5000 1
O1 O 0.0148 0.6032 0.2471 1

***

# PaAgPd2O8 | Alexandria | GGA-PBE | relaxed
# D(E_F)   0.678 states/eV per atom
# Energy relative to the elements, uncorrected   -825 meV/atom
data_PaAgPd2O8
_space_group_name_H-M_alt 'I -4 m 2'
_space_group_IT_number 119
_space_group_name_Hall 'I -4 -2'
_cell_length_a 6.982
_cell_length_b 6.982
_cell_length_c 6.956
_cell_angle_alpha 90.00
_cell_angle_beta 90.00
_cell_angle_gamma 90.00
loop_
_atom_site_label
_atom_site_type_symbol
_atom_site_fract_x
_atom_site_fract_y
_atom_site_fract_z
_atom_site_occupancy
Pa1 Pa 0.000 0.000 0.000 1
Ag1 Ag 0.000 0.500 0.750 1
Pd1 Pd 0.000 0.000 0.500 1
Pd2 Pd 0.000 0.500 0.250 1
O1 O 0.000 0.177 0.719 1
O2 O 0.000 0.316 0.046 1

***

# PrPaAgO6 | Alexandria | GGA-PBE | relaxed
# D(E_F)   0.568 states/eV per atom
# Energy relative to the elements, uncorrected   -2095 meV/atom
data_PrPaAgO6
_space_group_name_H-M_alt 'P 3 1 2'
_space_group_IT_number 149
_space_group_name_Hall 'P 3 2'
_cell_length_a 5.6084
_cell_length_b 5.6084
_cell_length_c 4.9655
_cell_angle_alpha 90.00
_cell_angle_beta 90.00
_cell_angle_gamma 120.00
loop_
_atom_site_label
_atom_site_type_symbol
_atom_site_fract_x
_atom_site_fract_y
_atom_site_fract_z
_atom_site_occupancy
Pr1 Pr 0.0000 0.0000 0.0000 1
Pa1 Pa 0.6667 0.3333 0.5000 1
Ag1 Ag 0.3333 0.6667 0.0000 1
O1 O 0.3674 0.0055 0.2488 1

***

# PrPaAg2O8 | Alexandria | GGA-PBE | relaxed
# D(E_F)   0.590 states/eV per atom
# Energy relative to the elements, uncorrected   -1426 meV/atom
data_PrPaAg2O8
_space_group_name_H-M_alt 'I -4 m 2'
_space_group_IT_number 119
_space_group_name_Hall 'I -4 -2'
_cell_length_a 7.460
_cell_length_b 7.460
_cell_length_c 6.953
_cell_angle_alpha 90.00
_cell_angle_beta 90.00
_cell_angle_gamma 90.00
loop_
_atom_site_label
_atom_site_type_symbol
_atom_site_fract_x
_atom_site_fract_y
_atom_site_fract_z
_atom_site_occupancy
Pr1 Pr 0.000 0.000 0.000 1
Pa1 Pa 0.000 0.500 0.750 1
Ag1 Ag 0.000 0.000 0.500 1
Ag2 Ag 0.000 0.500 0.250 1
O1 O 0.000 0.193 0.719 1
O2 O 0.000 0.328 0.016 1

***

# PaAgPtO6 | Alexandria | GGA-PBE | relaxed
# D(E_F)   0.464 states/eV per atom
# Energy relative to the elements, uncorrected   -1467 meV/atom
data_PaAgPtO6
_space_group_name_H-M_alt 'P -3 1 c'
_space_group_IT_number 163
_space_group_name_Hall '-P 3 2c'
_cell_length_a 5.4946
_cell_length_b 5.4946
_cell_length_c 9.4846
_cell_angle_alpha 90.00
_cell_angle_beta 90.00
_cell_angle_gamma 120.00
loop_
_atom_site_label
_atom_site_type_symbol
_atom_site_fract_x
_atom_site_fract_y
_atom_site_fract_z
_atom_site_occupancy
Pa1 Pa 0.3333 0.6667 0.2500 1
Ag1 Ag 0.0000 0.0000 0.0000 1
Pt1 Pt 0.3333 0.6667 0.7500 1
O1 O 0.0208 0.3654 0.6332 1

***

# PaAgPtO4 | Alexandria | GGA-PBE | relaxed
# Energy relative to the elements, uncorrected   -1760 meV/atom
data_PaAgPtO4
_space_group_name_H-M_alt 'I m m a'
_space_group_IT_number 74
_space_group_name_Hall '-I 2b 2'
_cell_length_a 6.046
_cell_length_b 6.856
_cell_length_c 10.947
_cell_angle_alpha 90.00
_cell_angle_beta 90.00
_cell_angle_gamma 90.00
loop_
_atom_site_label
_atom_site_type_symbol
_atom_site_fract_x
_atom_site_fract_y
_atom_site_fract_z
_atom_site_occupancy
Pa1 Pa 0.000 0.000 0.000 1
Ag1 Ag 0.000 0.250 0.320 1
Pt1 Pt 0.250 0.250 0.750 1
O1 O 0.000 0.057 0.793 1
O2 O 0.213 0.250 0.034 1

***

# PaAg2PtO6 | Alexandria | GGA-PBE | relaxed
# D(E_F)   0.740 states/eV per atom
# Energy relative to the elements, uncorrected   -1354 meV/atom
data_PaAg2PtO6
_space_group_name_H-M_alt 'R -3'
_space_group_IT_number 148
_space_group_name_Hall '-R 3'
_cell_length_a 5.6728
_cell_length_b 5.6728
_cell_length_c 14.4547
_cell_angle_alpha 90.00
_cell_angle_beta 90.00
_cell_angle_gamma 120.00
loop_
_atom_site_label
_atom_site_type_symbol
_atom_site_fract_x
_atom_site_fract_y
_atom_site_fract_z
_atom_site_occupancy
Pa1 Pa 0.0000 0.0000 0.0000 1
Ag1 Ag 0.0000 0.0000 0.2518 1
Pt1 Pt 0.0000 0.0000 0.5000 1
O1 O 0.0159 0.5952 0.2462 1

***

# PaAg2PtO8 | Alexandria | GGA-PBE | relaxed
# D(E_F)   0.925 states/eV per atom
# Energy relative to the elements, uncorrected   -730 meV/atom
data_PaAg2PtO8
_space_group_name_H-M_alt 'I -4 m 2'
_space_group_IT_number 119
_space_group_name_Hall 'I -4 -2'
_cell_length_a 6.619
_cell_length_b 6.619
_cell_length_c 7.922
_cell_angle_alpha 90.00
_cell_angle_beta 90.00
_cell_angle_gamma 90.00
loop_
_atom_site_label
_atom_site_type_symbol
_atom_site_fract_x
_atom_site_fract_y
_atom_site_fract_z
_atom_site_occupancy
Pa1 Pa 0.000 0.000 0.000 1
Ag1 Ag 0.000 0.000 0.500 1
Ag2 Ag 0.000 0.500 0.750 1
Pt1 Pt 0.000 0.500 0.250 1
O1 O 0.000 0.209 0.269 1
O2 O 0.000 0.300 0.946 1